Computed, not measured: an optimized crystal structure of SrZn2Br at the GGA-PBE level of DFT.

The structure in extended XYZ format:
```
8
Lattice="8.982 0.000 0.000 0.000 8.982 0.000 4.491 4.491 2.968" Properties=species:S:1:pos:R:3 pbc="T T T"
Zn 11.227 11.157 2.226
Zn 2.316 6.736 0.742
Zn 6.736 6.807 2.226
Zn 6.666 2.245 0.742
Br 4.491 8.982 1.484
Br 4.491 4.491 0.000
Sr 8.982 4.491 1.484
Sr 0.000 0.000 0.000
```

Values from the calculation:
Uncorrected formation energy (eV/atom): -0.408
Symmetry: I-42d (122)
Energy (eV per cell): -15.07

=====

Computed, not measured: an optimized crystal structure of Ta4CoCu at the GGA-PBE level of DFT.

The structure in extended XYZ format:
```
6
Lattice="-3.945 -3.518 0.680 -3.827 0.949 3.585 -4.936 1.185 -1.622" Properties=species:S:1:pos:R:3 pbc="T T T"
Co -9.531 -1.038 1.982
Cu 0.000 0.000 0.000
Ta -7.232 0.072 0.183
Ta -6.679 -0.046 2.780
Ta -6.737 -2.274 1.331
Ta -4.770 -0.519 0.992
```

Values from the calculation:
Energy of formation (eV per atom): 0.727
Symmetry: F-43m (216)
Energy (eV per cell): -54.25

=====

Computed, not measured: an optimized crystal structure of La3HoPu2S6 at the GGA-PBE level of DFT.

The structure in extended XYZ format:
```
12
Lattice="6.979 -0.001 0.001 -3.489 6.044 0.001 -1.163 -2.014 6.660" Properties=species:S:1:pos:R:3 pbc="T T T"
S 2.338 4.048 1.562
S 3.479 2.033 5.116
S -0.011 -0.019 5.102
S 0.022 4.030 5.116
S -1.152 1.996 1.548
S 2.305 0.000 1.548
Pu 0.002 4.028 0.001
Pu 3.488 2.015 0.001
La 1.164 2.015 3.332
La 4.642 0.006 3.332
La -2.314 4.023 3.332
Ho 0.000 0.000 0.000
```

Values from the calculation:
Uncorrected formation energy (eV/atom): -2.006
Symmetry: C2/m (12)
Energy (eV per cell): -96.86

=====

Computed, not measured: an optimized crystal structure of ZnTe2P at the GGA-PBE level of DFT.

The structure in extended XYZ format:
```
4
Lattice="2.013 6.356 -0.464 -2.013 6.356 -0.464 0.000 0.246 4.086" Properties=species:S:1:pos:R:3 pbc="T T T"
Zn 0.000 6.132 2.139
P 0.000 10.040 -0.243
Te 0.000 12.584 -0.379
Te 0.000 3.391 2.293
```

Values from the calculation:
Uncorrected formation energy (eV/atom): 0.111
Symmetry: Cm (8)
Energy (eV per cell): -12.52

=====

Number 1: magnetic moment 0.0 μB/f.u.. Number 2: magnetic moment 0.7 μB/f.u.. Number 3: magnetic moment 11.4 μB/f.u.. Number 4: magnetic moment 0.0 μB/f.u..